Sc2OsCl: relaxed, PBE-GGA.

Cell lengths 5.332, 5.332, 4.521 Å; angles 90.04, 90.04, 34.71 degrees
Atoms (fractional coordinates):
Sc 0.989 0.989 0.875
Sc 0.261 0.261 0.375
Cl 0.516 0.516 0.375
Os 0.735 0.735 0.875

Values from the calculation:
Its relative energy among the computed polymorphs is 375.3 meV per atom.

***

KBe2Re: relaxed, PBE-GGA.

Cell lengths 4.466, 4.466, 4.466 Å; angles 60.00, 60.00, 60.00 degrees
Atoms (fractional coordinates):
K 0.500 0.500 0.500
Be 0.250 0.250 0.250
Be 0.000 0.000 0.000
Re 0.750 0.750 0.750

Values from the calculation:
Its relative energy among the computed polymorphs is 1399.6 meV per atom.

***

CsGa6: relaxed, PBE-GGA.

Cell lengths 6.318, 6.318, 6.318 Å; angles 109.47, 109.47, 109.47 degrees
Atoms (fractional coordinates):
Ga 0.750 0.500 0.250
Ga 0.500 0.750 0.250
Ga 0.500 0.250 0.750
Ga 0.750 0.250 0.500
Ga 0.250 0.750 0.500
Ga 0.250 0.500 0.750
Cs 0.000 0.000 0.000

Values from the calculation:
The final energy is -19.101 eV per cell.

***

InPbCl: relaxed, PBE-GGA.

Cell lengths 7.323, 7.323, 7.323 Å; angles 152.62, 152.62, 39.11 degrees
Atoms (fractional coordinates):
In 0.345 0.345 0.000
Pb 0.669 0.669 0.000
Cl 0.986 0.986 0.000

Values from the calculation:
Its relative energy among the computed polymorphs is 71.4 meV per atom.

***

Number 1: total magnetic moment 0.000 μB per cell. Number 2: total magnetic moment 1.426 μB per cell. Number 3: total magnetic moment 0.000 μB per cell. Number 4: total magnetic moment 0.000 μB per cell.